VASP calculation (PBE) on a relaxed structure of Ac2MnTl3Se6.

a b c (Å): 7.4629 7.4629 8.1543
angles (deg): 99.68 99.68 118.36
With the nearest neighbours (Å) after each atom.
Atoms (fractional coordinates):
Ac  0.1644  0.8356  0.0000  6 Se 3.09-3.14
Ac  0.8356  0.1644  0.0000  6 Se 3.09-3.14
Mn  0.5000  0.5000  0.0000  4 Se 2.57
Tl  0.0000  0.0000  0.5000  6 Se 3.30-3.34
Tl  0.3313  0.6687  0.5000  4 Se 3.17-3.39
Tl  0.6687  0.3313  0.5000  4 Se 3.17-3.39
Se  0.1519  0.4340  0.8074  1 Mn 2.57
Se  0.2579  0.2579  0.2389  1 Mn 3.10, 2 Ac 3.10, 3 Tl 3.17-3.34
Se  0.4340  0.1519  0.8074  1 Mn 2.57
Se  0.5660  0.8481  0.1926  1 Mn 2.57
Se  0.7421  0.7421  0.7611  1 Mn 3.10, 2 Ac 3.10, 3 Tl 3.17-3.34
Se  0.8481  0.5660  0.1926  1 Mn 2.57

Output
Formation energy from raw total energies = -1.033 eV per atom
Density = 7.0 g/cm³
Uncorrected energy = -4.815 eV/atom
Space-group type = C2/m, No. 12
D(E_F) = 0.10 states/eV/atom
Total magnetization = 0.33 μB/atom
Volume = 377.5 Å³ per cell
Crystal system = monoclinic